The following is a DFT calculation (GGA+U) of crystalline SrCoOF2 at its relaxed geometry.

It has space group P4/mmm (No. 123), with a = 4.5951 Å, b = 4.5951 Å, c = 4.7138 Å, α = 90.00°, β = 90.00° and γ = 90.00°. The inequivalent atoms are Sr at (0.0000, 0.0000, 0.0000), Co at (0.5000, 0.5000, 0.5000), O at (0.0000, 0.0000, 0.5000) and F at (0.0000, 0.5000, 0.0000).

The energy above the most stable polymorph in this dataset comes out at 1.0389 eV per atom. The value obtained for the total energy is -22.22 eV/f.u. As for the density of states at the Fermi level: 11.506 states/eV per cell.